This record from Alexandria describes crystalline LaYFe4 at its relaxed geometry. The functional is GGA-PBEsol.

abc: 5.0994 5.0994 5.0994
angles: 60.00 60.00 60.00
Each line ends with the local moment (μB).
Positions (direct):
1 La 0.7500 0.7500 0.7500  -0.27
2 Fe 0.8758 0.3747 0.3747  1.97
3 Fe 0.3747 0.3747 0.3747  1.97
4 Fe 0.3747 0.8758 0.3747  1.97
5 Fe 0.3747 0.3747 0.8758  1.97
6 Y 0.0000 0.0000 0.0000  -0.42

Summary:
Energy   -7.96 eV per atom
SG   F-43m (216)